1.
## MnBPdAuI (PBE)

Data for an optimized crystal structure of MnBPdAuI.

## Properties
ΔE_f (raw)	0.11	eV per atom
distance to the lowest polymorph of the same formula	14	meV/atom
total magnetization	7.6	μB per cell

```
MnBPdAuI
1.0
3.5222 0.0000 0.0000
0.0000 4.1745 0.0000
0.0000 0.0000 13.7759
Mn B Pd Au I
2 2 2 2 2
direct
0.0000 0.0000 0.0000 Mn
0.5000 0.5000 0.5000 Mn
0.0000 0.5000 0.6016 B
0.5000 0.0000 0.1016 B
0.0000 0.0000 0.1912 Pd
0.5000 0.5000 0.6912 Pd
0.0000 0.0000 0.5658 Au
0.5000 0.5000 0.0658 Au
0.0000 0.5000 0.8492 I
0.5000 0.0000 0.3492 I
```

***

2.
## MnBPdAuI (PBE)

Data for an optimized crystal structure of MnBPdAuI.

## Properties
ΔE_f (raw)	0.13	eV per atom
distance to the lowest polymorph of the same formula	27	meV/atom
total magnetization	6.8	μB per cell

```
MnBPdAuI
1.0
5.7180 0.0000 0.0000
0.0000 3.3017 0.0000
-0.0046 0.0000 9.7731
Mn B Pd Au I
2 2 2 2 2
direct
0.0000 0.0000 0.0000 Mn
0.5000 0.5000 0.0000 Mn
0.3332 0.0000 0.8831 B
0.8332 0.5000 0.8831 B
0.1665 0.5000 0.7922 Pd
0.6665 0.0000 0.7922 Pd
0.1666 0.5000 0.1953 Au
0.6666 0.0000 0.1953 Au
0.1646 0.5000 0.4971 I
0.6646 0.0000 0.4971 I
```

***

3.
## MnBPdAuI (PBE)

Data for an optimized crystal structure of MnBPdAuI.

## Properties
ΔE_f (raw)	0.10	eV per atom
distance to the lowest polymorph of the same formula	0	meV/atom
total magnetization	6.9	μB per cell

```
MnBPdAuI
1.0
13.9948 0.0000 0.0000
0.0000 3.3970 0.0000
-1.0636 0.0000 4.1232
Mn B Pd Au I
2 2 2 2 2
direct
0.0000 0.0000 0.0000 Mn
0.5000 0.5000 0.0000 Mn
0.1060 0.5000 0.1123 B
0.6060 0.0000 0.1123 B
0.1937 0.0000 0.2822 Pd
0.6937 0.5000 0.2822 Pd
0.0660 0.5000 0.5817 Au
0.5660 0.0000 0.5817 Au
0.3397 0.0000 0.8889 I
0.8397 0.5000 0.8889 I
```

***

4.
## MnBPdAuI (PBE)

Data for an optimized crystal structure of MnBPdAuI.

## Properties
ΔE_f (raw)	0.10	eV per atom
distance to the lowest polymorph of the same formula	3	meV/atom
total magnetization	7.4	μB per cell

```
MnBPdAuI
1.0
14.3028 0.0000 0.0000
0.0000 3.4609 0.0000
-0.1841 0.0000 4.2121
Mn B Pd Au I
2 2 2 2 2
direct
0.0000 0.0000 0.0000 Mn
0.5000 0.5000 0.0000 Mn
0.0940 0.5000 0.9943 B
0.5940 0.0000 0.9943 B
0.1814 0.0000 0.9382 Pd
0.6814 0.5000 0.9382 Pd
0.0528 0.5000 0.4868 Au
0.5528 0.0000 0.4868 Au
0.3247 0.5000 0.7655 I
0.8247 0.0000 0.7655 I
```

***

Look up the total magnetization of the fourth one. 7.4 μB per cell

***

The highest ΔE_f (raw) belongs to which entry? number 2